Record 1
Density functional theory data (PBE) for an optimized crystal structure of Ce2IrRh3.

```
data_Ce2IrRh3
_space_group_name_H-M_alt 'P 63/m m c'
_space_group_IT_number 194
_space_group_name_Hall '-P 6c 2c'
_cell_length_a 5.3616
_cell_length_b 5.3616
_cell_length_c 8.8092
_cell_angle_alpha 90.00
_cell_angle_beta 90.00
_cell_angle_gamma 120.00
loop_
_atom_site_label
_atom_site_type_symbol
_atom_site_fract_x
_atom_site_fract_y
_atom_site_fract_z
_atom_site_occupancy
Ce1 Ce 0.3333 0.6667 0.0693 1
Ir1 Ir 0.0000 0.0000 0.0000 1
Rh1 Rh 0.1677 0.3355 0.7500 1
```

Output
DOS at the Fermi energy   1.72 states/eV per atom
ΔE_f   -679 meV per atom

---

Record 2
Density functional theory data (PBE) for an optimized crystal structure of Ce12IrRh6.

```
data_Ce12IrRh6
_space_group_name_H-M_alt 'R -3'
_space_group_IT_number 148
_space_group_name_Hall '-R 3'
_cell_length_a 12.1246
_cell_length_b 12.1246
_cell_length_c 12.2073
_cell_angle_alpha 90.00
_cell_angle_beta 90.00
_cell_angle_gamma 120.00
loop_
_atom_site_label
_atom_site_type_symbol
_atom_site_fract_x
_atom_site_fract_y
_atom_site_fract_z
_atom_site_occupancy
Ce1 Ce 0.0201 0.2076 0.3928 1
Ce2 Ce 0.0595 0.2131 0.8757 1
Ir1 Ir 0.0000 0.0000 0.0000 1
Rh1 Rh 0.0364 0.2685 0.6404 1
```

Output
DOS at the Fermi energy   3.14 states/eV per atom
ΔE_f   -434 meV per atom

---

Record 3
Density functional theory data (PBE) for an optimized crystal structure of CeIrRh.

```
data_CeIrRh
_space_group_name_H-M_alt 'I 4 m m'
_space_group_IT_number 107
_space_group_name_Hall 'I 4 -2'
_cell_length_a 3.594
_cell_length_b 3.594
_cell_length_c 8.612
_cell_angle_alpha 90.00
_cell_angle_beta 90.00
_cell_angle_gamma 90.00
loop_
_atom_site_label
_atom_site_type_symbol
_atom_site_fract_x
_atom_site_fract_y
_atom_site_fract_z
_atom_site_occupancy
Ce1 Ce 0.000 0.000 0.000 1
Ir1 Ir 0.000 0.000 0.336 1
Rh1 Rh 0.000 0.000 0.671 1
```

Output
DOS at the Fermi energy   0.68 states/eV per atom
ΔE_f   -373 meV per atom

---

Record 4
Density functional theory data (PBE) for an optimized crystal structure of Ce3Ir8Rh.

```
data_Ce3Ir8Rh
_space_group_name_H-M_alt 'R 3 m'
_space_group_IT_number 160
_space_group_name_Hall 'R 3 -2"'
_cell_length_a 5.3429
_cell_length_b 5.3429
_cell_length_c 26.3373
_cell_angle_alpha 90.00
_cell_angle_beta 90.00
_cell_angle_gamma 120.00
loop_
_atom_site_label
_atom_site_type_symbol
_atom_site_fract_x
_atom_site_fract_y
_atom_site_fract_z
_atom_site_occupancy
Ce1 Ce 0.0000 0.0000 0.0000 1
Ce2 Ce 0.0000 0.0000 0.1309 1
Ce3 Ce 0.0000 0.0000 0.5217 1
Ir1 Ir 0.0000 0.0000 0.3192 1
Ir2 Ir 0.0000 0.0000 0.8200 1
Ir3 Ir 0.0025 0.5012 0.0696 1
Ir4 Ir 0.1679 0.3359 0.9032 1
Rh1 Rh 0.0000 0.0000 0.6516 1
```

Output
DOS at the Fermi energy   0.90 states/eV per atom
ΔE_f   -546 meV per atom

---

Record 5
Density functional theory data (PBE) for an optimized crystal structure of CeIrRh3.

```
data_CeIrRh3
_space_group_name_H-M_alt 'C m c m'
_space_group_IT_number 63
_space_group_name_Hall '-C 2c 2'
_cell_length_a 5.308
_cell_length_b 15.991
_cell_length_c 4.683
_cell_angle_alpha 90.00
_cell_angle_beta 90.00
_cell_angle_gamma 90.00
loop_
_atom_site_label
_atom_site_type_symbol
_atom_site_fract_x
_atom_site_fract_y
_atom_site_fract_z
_atom_site_occupancy
Ce1 Ce 0.000 0.089 0.250 1
Ir1 Ir 0.000 0.352 0.250 1
Rh1 Rh 0.000 0.500 0.000 1
Rh2 Rh 0.232 0.289 0.750 1
```

Output
DOS at the Fermi energy   1.00 states/eV per atom
ΔE_f   35 meV per atom

---

Record 6
Density functional theory data (PBE) for an optimized crystal structure of Ce8IrRh2.

```
data_Ce8IrRh2
_space_group_name_H-M_alt 'C 1 2/m 1'
_space_group_IT_number 12
_space_group_name_Hall '-C 2y'
_cell_length_a 7.924
_cell_length_b 12.688
_cell_length_c 5.663
_cell_angle_alpha 90.00
_cell_angle_beta 108.56
_cell_angle_gamma 90.00
loop_
_atom_site_label
_atom_site_type_symbol
_atom_site_fract_x
_atom_site_fract_y
_atom_site_fract_z
_atom_site_occupancy
Ce1 Ce 0.000 0.224 0.000 1
Ce2 Ce 0.130 0.500 0.845 1
Ce3 Ce 0.187 0.107 0.581 1
Ir1 Ir 0.000 0.000 0.000 1
Rh1 Rh 0.000 0.315 0.500 1
```

Output
DOS at the Fermi energy   2.64 states/eV per atom
ΔE_f   -364 meV per atom

---

Record 7
Density functional theory data (PBE) for an optimized crystal structure of Ce4Ir3Rh.

```
data_Ce4Ir3Rh
_space_group_name_H-M_alt 'P m m 2'
_space_group_IT_number 25
_space_group_name_Hall 'P 2 -2'
_cell_length_a 3.857
_cell_length_b 4.059
_cell_length_c 11.246
_cell_angle_alpha 90.00
_cell_angle_beta 90.00
_cell_angle_gamma 90.00
loop_
_atom_site_label
_atom_site_type_symbol
_atom_site_fract_x
_atom_site_fract_y
_atom_site_fract_z
_atom_site_occupancy
Ce1 Ce 0.000 0.000 0.000 1
Ce2 Ce 0.000 0.500 0.275 1
Ce3 Ce 0.500 0.000 0.498 1
Ce4 Ce 0.500 0.500 0.773 1
Ir1 Ir 0.000 0.500 0.541 1
Ir2 Ir 0.500 0.000 0.233 1
Ir3 Ir 0.500 0.500 0.039 1
Rh1 Rh 0.000 0.000 0.734 1
```

Output
DOS at the Fermi energy   1.36 states/eV per atom
ΔE_f   -802 meV per atom

---

Record 8
Density functional theory data (PBE) for an optimized crystal structure of CeIrRh.

```
data_CeIrRh
_space_group_name_H-M_alt 'P m m a'
_space_group_IT_number 51
_space_group_name_Hall '-P 2a 2a'
_cell_length_a 5.510
_cell_length_b 2.911
_cell_length_c 6.870
_cell_angle_alpha 90.00
_cell_angle_beta 90.00
_cell_angle_gamma 90.00
loop_
_atom_site_label
_atom_site_type_symbol
_atom_site_fract_x
_atom_site_fract_y
_atom_site_fract_z
_atom_site_occupancy
Ce1 Ce 0.250 0.000 0.150 1
Ir1 Ir 0.000 0.000 0.500 1
Rh1 Rh 0.250 0.500 0.772 1
```

Output
DOS at the Fermi energy   1.41 states/eV per atom
ΔE_f   -305 meV per atom

---

Record 9
Density functional theory data (PBE) for an optimized crystal structure of Ce7IrRh2.

```
data_Ce7IrRh2
_space_group_name_H-M_alt 'C m m m'
_space_group_IT_number 65
_space_group_name_Hall '-C 2 2'
_cell_length_a 9.432
_cell_length_b 12.670
_cell_length_c 4.800
_cell_angle_alpha 90.00
_cell_angle_beta 90.00
_cell_angle_gamma 90.00
loop_
_atom_site_label
_atom_site_type_symbol
_atom_site_fract_x
_atom_site_fract_y
_atom_site_fract_z
_atom_site_occupancy
Ce1 Ce 0.000 0.000 0.000 1
Ce2 Ce 0.000 0.283 0.500 1
Ce3 Ce 0.191 0.396 0.000 1
Ir1 Ir 0.000 0.500 0.500 1
Rh1 Rh 0.000 0.199 0.000 1
```

Output
DOS at the Fermi energy   2.78 states/eV per atom
ΔE_f   -129 meV per atom

---

Record 10
Density functional theory data (PBE) for an optimized crystal structure of Ce4IrRh12.

```
data_Ce4IrRh12
_space_group_name_H-M_alt 'I m -3 m'
_space_group_IT_number 229
_space_group_name_Hall '-I 4 2 3'
_cell_length_a 8.395
_cell_length_b 8.395
_cell_length_c 8.395
_cell_angle_alpha 90.00
_cell_angle_beta 90.00
_cell_angle_gamma 90.00
loop_
_atom_site_label
_atom_site_type_symbol
_atom_site_fract_x
_atom_site_fract_y
_atom_site_fract_z
_atom_site_occupancy
Ce1 Ce 0.250 0.250 0.250 1
Ir1 Ir 0.000 0.000 0.000 1
Rh1 Rh 0.000 0.000 0.297 1
Rh2 Rh 0.000 0.250 0.500 1
```

Output
DOS at the Fermi energy   1.36 states/eV per atom
ΔE_f   -511 meV per atom

---

Record 11
Density functional theory data (PBE) for an optimized crystal structure of CeIrRh2.

```
data_CeIrRh2
_space_group_name_H-M_alt 'P 4/m m m'
_space_group_IT_number 123
_space_group_name_Hall '-P 4 2'
_cell_length_a 4.079
_cell_length_b 4.079
_cell_length_c 4.061
_cell_angle_alpha 90.00
_cell_angle_beta 90.00
_cell_angle_gamma 90.00
loop_
_atom_site_label
_atom_site_type_symbol
_atom_site_fract_x
_atom_site_fract_y
_atom_site_fract_z
_atom_site_occupancy
Ce1 Ce 0.000 0.000 0.000 1
Ir1 Ir 0.500 0.500 0.000 1
Rh1 Rh 0.000 0.500 0.500 1
```

Output
DOS at the Fermi energy   1.18 states/eV per atom
ΔE_f   -594 meV per atom

---

Record 12
Density functional theory data (PBE) for an optimized crystal structure of Ce6IrRh5.

```
data_Ce6IrRh5
_space_group_name_H-M_alt 'C 1 2/m 1'
_space_group_IT_number 12
_space_group_name_Hall '-C 2y'
_cell_length_a 6.952
_cell_length_b 12.045
_cell_length_c 6.956
_cell_angle_alpha 90.00
_cell_angle_beta 109.45
_cell_angle_gamma 90.00
loop_
_atom_site_label
_atom_site_type_symbol
_atom_site_fract_x
_atom_site_fract_y
_atom_site_fract_z
_atom_site_occupancy
Ce1 Ce 0.249 0.000 0.250 1
Ce2 Ce 0.249 0.166 0.749 1
Ir1 Ir 0.000 0.000 0.500 1
Rh1 Rh 0.000 0.168 0.000 1
Rh2 Rh 0.000 0.334 0.500 1
Rh3 Rh 0.000 0.500 0.000 1
```

Output
DOS at the Fermi energy   1.29 states/eV per atom
ΔE_f   -697 meV per atom

---

Record 13
Density functional theory data (PBE) for an optimized crystal structure of Ce2IrRh4.

```
data_Ce2IrRh4
_space_group_name_H-M_alt 'C m m m'
_space_group_IT_number 65
_space_group_name_Hall '-C 2 2'
_cell_length_a 7.917
_cell_length_b 8.154
_cell_length_c 4.005
_cell_angle_alpha 90.00
_cell_angle_beta 90.00
_cell_angle_gamma 90.00
loop_
_atom_site_label
_atom_site_type_symbol
_atom_site_fract_x
_atom_site_fract_y
_atom_site_fract_z
_atom_site_occupancy
Ce1 Ce 0.223 0.000 0.000 1
Ir1 Ir 0.000 0.500 0.500 1
Rh1 Rh 0.000 0.269 0.000 1
Rh2 Rh 0.250 0.250 0.500 1
```

Output
DOS at the Fermi energy   1.09 states/eV per atom
ΔE_f   -573 meV per atom

---

Record 14
Density functional theory data (PBE) for an optimized crystal structure of Ce2Ir2Rh.

```
data_Ce2Ir2Rh
_space_group_name_H-M_alt 'I m m m'
_space_group_IT_number 71
_space_group_name_Hall '-I 2 2'
_cell_length_a 3.964
_cell_length_b 6.657
_cell_length_c 7.769
_cell_angle_alpha 90.00
_cell_angle_beta 90.00
_cell_angle_gamma 90.00
loop_
_atom_site_label
_atom_site_type_symbol
_atom_site_fract_x
_atom_site_fract_y
_atom_site_fract_z
_atom_site_occupancy
Ce1 Ce 0.000 0.000 0.232 1
Ir1 Ir 0.000 0.303 0.500 1
Rh1 Rh 0.000 0.500 0.000 1
```

Output
DOS at the Fermi energy   1.28 states/eV per atom
ΔE_f   -660 meV per atom

---

Record 15
Density functional theory data (PBE) for an optimized crystal structure of CeIrRh.

```
data_CeIrRh
_space_group_name_H-M_alt 'I m m a'
_space_group_IT_number 74
_space_group_name_Hall '-I 2b 2'
_cell_length_a 5.354
_cell_length_b 5.377
_cell_length_c 7.619
_cell_angle_alpha 90.00
_cell_angle_beta 90.00
_cell_angle_gamma 90.00
loop_
_atom_site_label
_atom_site_type_symbol
_atom_site_fract_x
_atom_site_fract_y
_atom_site_fract_z
_atom_site_occupancy
Ce1 Ce 0.000 0.250 0.126 1
Ir1 Ir 0.000 0.000 0.500 1
Rh1 Rh 0.250 0.250 0.750 1
```

Output
DOS at the Fermi energy   1.52 states/eV per atom
ΔE_f   -752 meV per atom

---

Record 16
Density functional theory data (PBE) for an optimized crystal structure of Ce2Ir3Rh.

```
data_Ce2Ir3Rh
_space_group_name_H-M_alt 'R -3 m'
_space_group_IT_number 166
_space_group_name_Hall '-R 3 2"'
_cell_length_a 5.3847
_cell_length_b 5.3847
_cell_length_c 13.1723
_cell_angle_alpha 90.00
_cell_angle_beta 90.00
_cell_angle_gamma 120.00
loop_
_atom_site_label
_atom_site_type_symbol
_atom_site_fract_x
_atom_site_fract_y
_atom_site_fract_z
_atom_site_occupancy
Ce1 Ce 0.0000 0.0000 0.1243 1
Ir1 Ir 0.0000 0.5000 0.0000 1
Rh1 Rh 0.0000 0.0000 0.5000 1
```

Output
DOS at the Fermi energy   1.51 states/eV per atom
ΔE_f   -767 meV per atom

---

Record 17
Density functional theory data (PBE) for an optimized crystal structure of CeIrRh2.

```
data_CeIrRh2
_space_group_name_H-M_alt 'R -3 m'
_space_group_IT_number 166
_space_group_name_Hall '-R 3 2"'
_cell_length_a 4.5236
_cell_length_b 4.5236
_cell_length_c 12.8886
_cell_angle_alpha 90.00
_cell_angle_beta 90.00
_cell_angle_gamma 120.00
loop_
_atom_site_label
_atom_site_type_symbol
_atom_site_fract_x
_atom_site_fract_y
_atom_site_fract_z
_atom_site_occupancy
Ce1 Ce 0.0000 0.0000 0.0000 1
Ir1 Ir 0.0000 0.0000 0.5000 1
Rh1 Rh 0.0000 0.0000 0.2019 1
```

Output
DOS at the Fermi energy   1.00 states/eV per atom
ΔE_f   -397 meV per atom

---

Record 18
Density functional theory data (PBE) for an optimized crystal structure of Ce8Ir5Rh.

```
data_Ce8Ir5Rh
_space_group_name_H-M_alt 'I -4'
_space_group_IT_number 82
_space_group_name_Hall 'I -4'
_cell_length_a 8.698
_cell_length_b 8.698
_cell_length_c 8.706
_cell_angle_alpha 90.00
_cell_angle_beta 90.00
_cell_angle_gamma 90.00
loop_
_atom_site_label
_atom_site_type_symbol
_atom_site_fract_x
_atom_site_fract_y
_atom_site_fract_z
_atom_site_occupancy
Ce1 Ce 0.058 0.310 0.435 1
Ce2 Ce 0.061 0.192 0.818 1
Ir1 Ir 0.000 0.500 0.750 1
Ir2 Ir 0.125 0.249 0.127 1
Rh1 Rh 0.000 0.000 0.500 1
```

Output
DOS at the Fermi energy   2.27 states/eV per atom
ΔE_f   -702 meV per atom

---

Record 19
Density functional theory data (PBE) for an optimized crystal structure of Ce7IrRh5.

```
data_Ce7IrRh5
_space_group_name_H-M_alt 'I m m 2'
_space_group_IT_number 44
_space_group_name_Hall 'I 2 -2'
_cell_length_a 5.830
_cell_length_b 10.327
_cell_length_c 9.732
_cell_angle_alpha 90.00
_cell_angle_beta 90.00
_cell_angle_gamma 90.00
loop_
_atom_site_label
_atom_site_type_symbol
_atom_site_fract_x
_atom_site_fract_y
_atom_site_fract_z
_atom_site_occupancy
Ce1 Ce 0.000 0.000 0.000 1
Ce2 Ce 0.000 0.000 0.428 1
Ce3 Ce 0.000 0.296 0.668 1
Ce4 Ce 0.000 0.348 0.125 1
Ce5 Ce 0.000 0.500 0.354 1
Ir1 Ir 0.000 0.000 0.709 1
Rh1 Rh 0.000 0.500 0.879 1
Rh2 Rh 0.250 0.241 0.914 1
```

Output
DOS at the Fermi energy   1.87 states/eV per atom
ΔE_f   -547 meV per atom

---

Record 20
Density functional theory data (PBE) for an optimized crystal structure of CeIrRh3.

```
data_CeIrRh3
_space_group_name_H-M_alt 'C 1 2/m 1'
_space_group_IT_number 12
_space_group_name_Hall '-C 2y'
_cell_length_a 13.522
_cell_length_b 4.346
_cell_length_c 5.694
_cell_angle_alpha 90.00
_cell_angle_beta 91.23
_cell_angle_gamma 90.00
loop_
_atom_site_label
_atom_site_type_symbol
_atom_site_fract_x
_atom_site_fract_y
_atom_site_fract_z
_atom_site_occupancy
Ce1 Ce 0.116 0.000 0.490 1
Ir1 Ir 0.195 0.500 0.772 1
Rh1 Rh 0.001 0.500 0.765 1
Rh2 Rh 0.105 0.000 0.992 1
Rh3 Rh 0.197 0.500 0.228 1
```

Output
DOS at the Fermi energy   1.29 states/eV per atom
ΔE_f   -323 meV per atom

---

Record 21
Density functional theory data (PBE) for an optimized crystal structure of Ce7Ir2Rh2.

```
data_Ce7Ir2Rh2
_space_group_name_H-M_alt 'I m m 2'
_space_group_IT_number 44
_space_group_name_Hall 'I 2 -2'
_cell_length_a 3.864
_cell_length_b 15.032
_cell_length_c 9.379
_cell_angle_alpha 90.00
_cell_angle_beta 90.00
_cell_angle_gamma 90.00
loop_
_atom_site_label
_atom_site_type_symbol
_atom_site_fract_x
_atom_site_fract_y
_atom_site_fract_z
_atom_site_occupancy
Ce1 Ce 0.000 0.000 0.000 1
Ce2 Ce 0.000 0.112 0.613 1
Ce3 Ce 0.000 0.309 0.395 1
Ce4 Ce 0.000 0.373 0.767 1
Ir1 Ir 0.000 0.239 0.096 1
Rh1 Rh 0.000 0.000 0.345 1
Rh2 Rh 0.000 0.500 0.283 1
```

Output
DOS at the Fermi energy   2.68 states/eV per atom
ΔE_f   -536 meV per atom

---

Record 22
Density functional theory data (PBE) for an optimized crystal structure of Ce12Ir6Rh.

```
data_Ce12Ir6Rh
_space_group_name_H-M_alt 'R -3'
_space_group_IT_number 148
_space_group_name_Hall '-R 3'
_cell_length_a 12.2720
_cell_length_b 12.2720
_cell_length_c 12.0729
_cell_angle_alpha 90.00
_cell_angle_beta 90.00
_cell_angle_gamma 120.00
loop_
_atom_site_label
_atom_site_type_symbol
_atom_site_fract_x
_atom_site_fract_y
_atom_site_fract_z
_atom_site_occupancy
Ce1 Ce 0.0240 0.2125 0.3949 1
Ce2 Ce 0.0566 0.2142 0.8796 1
Ir1 Ir 0.0412 0.2673 0.6443 1
Rh1 Rh 0.0000 0.0000 0.0000 1
```

Output
DOS at the Fermi energy   3.05 states/eV per atom
ΔE_f   -501 meV per atom

---

The calculation returns the following magnetic moment values, one per record and in order: 0.6; 10.6; 0.0; 0.0; 0.0; 2.1; 0.0; 0.0; 2.7; 0.0; 0.0; 0.0; 0.0; 0.0; 0.0; 0.0; 0.0; 3.0; 1.8; 0.0; 3.7; 10.5 μB/f.u..